(1)
# Ac2La3Pb3N2

An optimized crystal structure of Ac2La3Pb3N2 (PBE-GGA, the Alexandria database).

POSCAR file:
```
Ac2La3Pb3N2
1.0
4.9399 0.0000 0.0000
0.0000 4.9399 0.0000
-2.4700 -2.4700 12.9597
Ac La Pb N
2 3 3 2
Direct
0.7500 0.2500 0.5000 Ac
0.2500 0.7500 0.5000 Ac
0.8707 0.8707 0.7413 La
0.5000 0.5000 0.0000 La
0.1293 0.1293 0.2587 La
0.6316 0.6316 0.2631 Pb
0.3684 0.3684 0.7369 Pb
0.0000 0.0000 0.0000 Pb
0.7843 0.7843 0.5686 N
0.2157 0.2157 0.4314 N
```

Magnetic moment, μB/f.u.: 0.00
E_form (uncorrected), eV/atom: -0.76
Crystal system: tetragonal
Density of states at the Fermi level, states/eV/f.u.: 7.9
Calculated density, g/cm³: 8.0

---

(2)
# Ac2LaPm3N6

An optimized crystal structure of Ac2LaPm3N6 (PBE-GGA, the Alexandria database).

POSCAR file:
```
Ac2LaPm3N6
1.0
3.7279 0.0000 0.0000
0.0000 7.4900 0.2506
-1.8639 -2.1770 7.8827
Ac La Pm N
2 1 3 6
Direct
0.8336 0.6708 0.6672 Ac
0.1664 0.3292 0.3328 Ac
0.5000 0.0000 0.0000 La
0.5000 0.5000 0.0000 Pm
0.8377 0.1685 0.6754 Pm
0.1623 0.8315 0.3246 Pm
0.3360 0.9257 0.6720 N
0.6607 0.5956 0.3214 N
0.6640 0.0743 0.3280 N
0.9968 0.2520 0.9937 N
0.0032 0.7480 0.0063 N
0.3393 0.4044 0.6786 N
```

Magnetic moment, μB/f.u.: 0.00
E_form (uncorrected), eV/atom: -1.26
Crystal system: monoclinic
Density of states at the Fermi level, states/eV/f.u.: 1.2
Calculated density, g/cm³: 8.3